A PBEsol-optimized structure of Mn9CdO10, computed with SCAN.

The uncorrected formation energy is -175.9 kJ per mole of atoms. The size of the total moment comes out at 45.0 μB per formula unit. The value obtained for the density of states at the Fermi level is 5.9 states/eV per cell. Its calculated volume is 428 Å³ per cell.

It has space group C2/m (No. 12), with a = 5.394 Å, b = 15.600 Å, c = 5.395 Å, α = 90.00°, β = 109.49° and γ = 90.00°. The asymmetric unit holds Mn at (0.000, 0.000, 0.000), Mn at (0.000, 0.102, 0.500), Mn at (0.000, 0.203, 0.000), Mn at (0.000, 0.298, 0.500), Mn at (0.000, 0.398, 0.000), Cd at (0.000, 0.500, 0.500), O at (0.238, 0.000, 0.762), O at (0.240, 0.106, 0.241) and O at (0.248, 0.301, 0.252).